{"formula": "Hg2BS3", "functional": "PBE", "state": "optimized geometry", "vol_a3_per_fu": 133.85, "space_group": "No. 15", "final_energy_ev_per_cell": -40.73, "cell": [[5.5428, -3.2288, 0.0000], [5.5428, 3.2288, 0.0000], [-1.9966, 0.0000, 7.4791]], "species": ["Hg", "Hg", "Hg", "Hg", "B", "B", "S", "S", "S", "S", "S", "S"], "fractional_positions": [[0.0342, 0.2930, 0.0834], [0.2930, 0.0342, 0.5834], [0.7070, 0.9658, 0.4166], [0.9658, 0.7070, 0.9166], [0.4582, 0.5418, 0.2500], [0.5418, 0.4582, 0.7500], [0.1741, 0.8259, 0.2500], [0.2490, 0.4747, 0.6563], [0.4747, 0.2490, 0.1563], [0.5253, 0.7510, 0.8437], [0.7510, 0.5253, 0.3437], [0.8259, 0.1741, 0.7500]]}



{"formula": "IrRu2O", "functional": "PBE", "state": "optimized geometry", "vol_a3_per_fu": 53.12, "space_group": "No. 122", "final_energy_ev_per_cell": -123.85, "cell": [[6.1707, 0.0000, 0.0000], [0.0000, 6.1707, 0.0000], [0.0000, 0.0000, 5.5801]], "species": ["Ir", "Ir", "Ir", "Ir", "Ru", "Ru", "Ru", "Ru", "Ru", "Ru", "Ru", "Ru", "O", "O", "O", "O"], "fractional_positions": [[0.0000, 0.0000, 0.0000], [0.0000, 0.5000, 0.2500], [0.5000, 0.0000, 0.7500], [0.5000, 0.5000, 0.5000], [0.1667, 0.2500, 0.6250], [0.2500, 0.6667, 0.8750], [0.2500, 0.8333, 0.3750], [0.3333, 0.2500, 0.1250], [0.6667, 0.7500, 0.1250], [0.7500, 0.1667, 0.3750], [0.7500, 0.3333, 0.8750], [0.8333, 0.7500, 0.6250], [0.0000, 0.0000, 0.5000], [0.0000, 0.5000, 0.7500], [0.5000, 0.0000, 0.2500], [0.5000, 0.5000, 0.0000]]}



{"formula": "PmNdMgAu", "functional": "PBE", "state": "optimized geometry", "formation_enthalpy_0k_mev_per_atom": -438, "vol_a3_per_fu": 107.82, "space_group": "No. 99", "final_energy_ev_per_cell": -16.14, "e_above_lowest_polymorph_ev_per_fu": 0.00, "cell": [[3.8063, 0.0000, 0.0000], [0.0000, 3.8063, 0.0000], [0.0000, 0.0000, 7.4425]], "species": ["Pm", "Nd", "Mg", "Au"], "fractional_positions": [[0.0000, 0.0000, 0.0000], [0.0000, 0.0000, 0.5280], [0.5000, 0.5000, 0.2622], [0.5000, 0.5000, 0.7698]]}